Entry 1:
VASP calculation (GGA-PBE) on MnAs2SeBr after structural relaxation.

- raw total energy (eV per cell) = -22.0
- ΔE_f (raw) (eV/atom) = 0.33
- total magnetic moment (μB/f.u.) = 0.0
- energy above the most stable polymorph in this dataset (kJ per mole of atoms) = 0.0
- ρ (g/cm³) = 5.85

a b c (Å): 4.7521 4.7521 4.5706
angles (deg): 90.00 90.00 90.00
Fractional coordinates of all 5 atoms:
Se 0.0000 0.0000 0.5000
Mn 0.0000 0.0000 0.0000
As 0.0000 0.5000 0.0000
As 0.5000 0.0000 0.0000
Br 0.5000 0.5000 0.5000



Entry 2:
VASP calculation (GGA-PBE) on Sm5YHo6 after structural relaxation.

- raw total energy (eV per cell) = -56.1
- total magnetic moment (μB/f.u.) = 0.0
- ρ (g/cm³) = 7.81

a b c (Å): 10.0583 10.0583 5.8934
angles (deg): 107.03 107.03 123.65
Fractional coordinates of all 12 atoms:
Ho 0.2500 0.2500 0.7503
Sm 0.6659 0.3341 0.0000
Sm 0.3341 0.6659 0.0000
Sm 0.8356 0.1644 0.5000
Ho 0.9171 0.5828 0.7498
Ho 0.0829 0.4172 0.2502
Ho 0.4172 0.0829 0.2502
Ho 0.7500 0.7500 0.2497
Y 0.0000 0.0000 0.0000
Sm 0.5000 0.5000 0.5000
Ho 0.5828 0.9171 0.7498
Sm 0.1644 0.8356 0.5000



Entry 3:
VASP calculation (GGA-PBE) on AcCu5As3 after structural relaxation.

- raw total energy (eV per cell) = -83.4
- total magnetic moment (μB/f.u.) = 0.0
- ρ (g/cm³) = 8.22

a b c (Å): 4.0472 6.6630 12.1053
angles (deg): 90.00 90.00 107.68
Fractional coordinates of all 18 atoms:
As 0.6228 0.2456 0.0504
Cu 0.4459 0.8918 0.3557
As 0.8871 0.7742 0.2500
As 0.3772 0.7544 0.9496
Ac 0.1687 0.3373 0.2500
As 0.1129 0.2258 0.7500
Cu 0.5541 0.1082 0.8557
Cu 0.1868 0.3737 0.5611
As 0.3772 0.7544 0.5504
Cu 0.5541 0.1082 0.6443
Cu 0.4459 0.8918 0.1443
Ac 0.8313 0.6627 0.7500
Cu 0.1868 0.3737 0.9389
Cu 0.0000 0.0000 0.5000
Cu 0.0000 0.0000 0.0000
Cu 0.8132 0.6263 0.4389
Cu 0.8132 0.6263 0.0611
As 0.6228 0.2456 0.4496



Entry 4:
VASP calculation (GGA-PBE) on PuScTe2 after structural relaxation.

- raw total energy (eV per cell) = -60.0
- ΔE_f (raw) (eV/atom) = -0.77
- total magnetic moment (μB/f.u.) = 3.4
- energy above the most stable polymorph in this dataset (kJ per mole of atoms) = 32.9
- ρ (g/cm³) = 8.51

a b c (Å): 4.3136 4.0162 12.4226
angles (deg): 99.30 90.00 90.00
Each line ends with the local moment (μB).
Fractional coordinates of all 8 atoms:
Te 0.7500 0.9255 0.8510  -0.03
Sc 0.2500 0.1995 0.3990  0.05
Sc 0.7500 0.8005 0.6010  0.05
Te 0.2500 0.0745 0.1490  -0.03
Te 0.2500 0.3184 0.6368  0.00
Te 0.7500 0.6816 0.3632  0.00
Pu 0.7500 0.5240 0.0481  3.37
Pu 0.2500 0.4760 0.9519  3.37